Record 1
Compound: AlCr2Tc
Source: Alexandria via LeMat-Bulk
Functional: PBE
Structure: relaxed

The space group is Immm (No. 71) and the conventional cell measures 3.006, 4.115 and 8.400 Å, with angles of 90.00, 90.00 and 90.00 degrees. The inequivalent atoms are Al at (0.000, 0.000, 0.000), Cr at (0.000, 0.500, 0.240) and Tc at (0.000, 0.000, 0.500).


Record 2
Compound: AlCr2Tc
Source: Alexandria via LeMat-Bulk
Functional: PBE
Structure: relaxed

The space group is I-42d (No. 122) and the conventional cell measures 6.846, 6.846 and 5.080 Å, with angles of 90.00, 90.00 and 90.00 degrees. The inequivalent atoms are Al at (0.000, 0.000, 0.000), Cr at (0.214, 0.750, 0.625) and Tc at (0.000, 0.000, 0.500).


Record 3
Compound: Al2CrTc
Source: Alexandria via LeMat-Bulk
Functional: PBE
Structure: relaxed

The space group is I-42d (No. 122) and the conventional cell measures 6.733, 6.733 and 5.261 Å, with angles of 90.00, 90.00 and 90.00 degrees. The inequivalent atoms are Al at (0.244, 0.250, 0.125), Cr at (0.000, 0.000, 0.000) and Tc at (0.000, 0.000, 0.500).

The energy relative to the lowest polymorph listed for this composition is 70.7 kJ per mole of atoms.


Record 4
Compound: Al2CrTc
Source: Alexandria via LeMat-Bulk
Functional: PBE
Structure: relaxed

The space group is Cmm2 (No. 35) and the conventional cell measures 2.995, 4.457 and 8.562 Å, with angles of 90.00, 90.00 and 90.00 degrees. The inequivalent atoms are Al at (0.000, 0.000, 0.000), Al at (0.000, 0.500, 0.277), Cr at (0.000, 0.500, 0.761) and Tc at (0.000, 0.000, 0.529).

The energy relative to the lowest polymorph listed for this composition is 32.9 kJ per mole of atoms.


Record 5
Compound: AlCrTc2
Source: Alexandria via LeMat-Bulk
Functional: PBE
Structure: relaxed

The space group is Cmm2 (No. 35) and the conventional cell measures 2.965, 4.416 and 8.542 Å, with angles of 90.00, 90.00 and 90.00 degrees. The inequivalent atoms are Al at (0.000, 0.000, 0.000), Cr at (0.000, 0.500, 0.244), Tc at (0.000, 0.000, 0.480) and Tc at (0.000, 0.500, 0.745).


Record 6
Compound: AlCr4Tc
Source: Alexandria via LeMat-Bulk
Functional: PBE
Structure: relaxed

The space group is F-43m (No. 216) and the conventional cell measures 6.728, 6.728 and 6.728 Å, with angles of 90.00, 90.00 and 90.00 degrees. The inequivalent atoms are Al at (0.000, 0.000, 0.000), Cr at (0.126, 0.126, 0.374) and Tc at (0.250, 0.250, 0.750).


Record 7
Compound: AlCrTc2
Source: Alexandria via LeMat-Bulk
Functional: PBE
Structure: relaxed

The space group is I-42d (No. 122) and the conventional cell measures 6.891, 6.891 and 5.197 Å, with angles of 90.00, 90.00 and 90.00 degrees. The inequivalent atoms are Al at (0.000, 0.000, 0.000), Cr at (0.000, 0.000, 0.500) and Tc at (0.200, 0.750, 0.625).


Record 8
Compound: AlCr2Tc
Source: Alexandria via LeMat-Bulk
Functional: PBE
Structure: relaxed

The space group is P4/mmm (No. 123) and the conventional cell measures 3.005, 3.005 and 5.911 Å, with angles of 90.00, 90.00 and 90.00 degrees. The inequivalent atoms are Al at (0.000, 0.000, 0.000), Cr at (0.500, 0.500, 0.257) and Tc at (0.000, 0.000, 0.500).


Record 9
Compound: AlCr2Tc
Source: Alexandria via LeMat-Bulk
Functional: PBE
Structure: relaxed

The space group is P2/m (No. 10) and the conventional cell measures 2.589, 4.187 and 4.916 Å, with angles of 90.00, 101.59 and 90.00 degrees. The inequivalent atoms are Al at (0.000, 0.000, 0.000), Cr at (0.297, 0.500, 0.764) and Tc at (0.500, 0.000, 0.500).


Record 10
Compound: Al2CrTc2
Source: Alexandria via LeMat-Bulk
Functional: PBE
Structure: relaxed

The space group is P4/mbm (No. 127) and the conventional cell measures 6.630, 6.630 and 3.389 Å, with angles of 90.00, 90.00 and 90.00 degrees. The inequivalent atoms are Al at (0.147, 0.353, 0.000), Cr at (0.000, 0.000, 0.500) and Tc at (0.155, 0.655, 0.500).

The energy relative to the lowest polymorph listed for this composition is 8.1 kJ per mole of atoms.


Record 11
Compound: Al2CrTc
Source: Alexandria via LeMat-Bulk
Functional: PBE
Structure: relaxed

The space group is P2/m (No. 10) and the conventional cell measures 2.663, 4.137 and 5.114 Å, with angles of 90.00, 101.55 and 90.00 degrees. The inequivalent atoms are Al at (0.236, 0.000, 0.255), Cr at (0.000, 0.500, 0.500) and Tc at (0.500, 0.500, 0.000).

The energy relative to the lowest polymorph listed for this composition is 18.6 kJ per mole of atoms.


Record 12
Compound: Al2CrTc2
Source: Alexandria via LeMat-Bulk
Functional: PBE
Structure: relaxed

The space group is P4/mbm (No. 127) and the conventional cell measures 6.661, 6.661 and 3.179 Å, with angles of 90.00, 90.00 and 90.00 degrees. The inequivalent atoms are Al at (0.134, 0.366, 0.000), Cr at (0.000, 0.000, 0.000) and Tc at (0.166, 0.666, 0.500).

The energy relative to the lowest polymorph listed for this composition is 0.0 kJ per mole of atoms.


Record 13
Compound: AlCrTc2
Source: Alexandria via LeMat-Bulk
Functional: PBE
Structure: relaxed

The space group is Imm2 (No. 44) and the conventional cell measures 3.059, 4.142 and 8.599 Å, with angles of 90.00, 90.00 and 90.00 degrees. The inequivalent atoms are Al at (0.000, 0.000, 0.000), Cr at (0.000, 0.500, 0.753), Tc at (0.000, 0.000, 0.491) and Tc at (0.000, 0.500, 0.241).


Record 14
Compound: AlCr2Tc
Source: Alexandria via LeMat-Bulk
Functional: PBE
Structure: relaxed

The space group is Cmmm (No. 65) and the conventional cell measures 5.026, 7.971 and 2.642 Å, with angles of 90.00, 90.00 and 90.00 degrees. The inequivalent atoms are Al at (0.000, 0.000, 0.000), Cr at (0.250, 0.250, 0.500) and Tc at (0.000, 0.500, 0.000).


Record 15
Compound: AlCr2Tc
Source: Alexandria via LeMat-Bulk
Functional: PBE
Structure: relaxed

The space group is Cmm2 (No. 35) and the conventional cell measures 2.964, 4.339 and 8.198 Å, with angles of 90.00, 90.00 and 90.00 degrees. The inequivalent atoms are Al at (0.000, 0.000, 0.000), Cr at (0.000, 0.000, 0.519), Cr at (0.000, 0.500, 0.745) and Tc at (0.000, 0.500, 0.267).


Record 16
Compound: AlCr3Tc
Source: Alexandria via LeMat-Bulk
Functional: PBE
Structure: relaxed

The space group is Pm-3m (No. 221) and the conventional cell measures 4.324, 4.324 and 4.324 Å, with angles of 90.00, 90.00 and 90.00 degrees. The inequivalent atoms are Al at (0.000, 0.000, 0.000), Cr at (0.000, 0.000, 0.500) and Tc at (0.500, 0.500, 0.500).

The energy relative to the lowest polymorph listed for this composition is 30.7 kJ per mole of atoms.


Record 17
Compound: AlCrTc2
Source: Alexandria via LeMat-Bulk
Functional: PBE
Structure: relaxed

The space group is Pmmm (No. 47) and the conventional cell measures 3.075, 4.108 and 4.422 Å, with angles of 90.00, 90.00 and 90.00 degrees. The inequivalent atoms are Al at (0.000, 0.000, 0.000), Cr at (0.500, 0.000, 0.500), Tc at (0.000, 0.500, 0.500) and Tc at (0.500, 0.500, 0.000).


Record 18
Compound: AlCrTc2
Source: Alexandria via LeMat-Bulk
Functional: PBE
Structure: relaxed

The space group is P2/m (No. 10) and the conventional cell measures 2.701, 4.084 and 5.139 Å, with angles of 90.00, 102.91 and 90.00 degrees. The inequivalent atoms are Al at (0.000, 0.000, 0.000), Cr at (0.500, 0.000, 0.500) and Tc at (0.302, 0.500, 0.747).


Record 19
Compound: Al2CrTc
Source: Alexandria via LeMat-Bulk
Functional: PBE
Structure: relaxed

The space group is Imm2 (No. 44) and the conventional cell measures 3.151, 4.196 and 8.446 Å, with angles of 90.00, 90.00 and 90.00 degrees. The inequivalent atoms are Al at (0.000, 0.000, 0.000), Al at (0.000, 0.500, 0.229), Cr at (0.000, 0.500, 0.751) and Tc at (0.000, 0.000, 0.475).

The energy relative to the lowest polymorph listed for this composition is 7.8 kJ per mole of atoms.


Record 20
Compound: Al2CrTc
Source: Alexandria via LeMat-Bulk
Functional: PBE
Structure: relaxed

The space group is R-3m (No. 166, hexagonal axes) and the conventional cell measures 2.7608, 2.7608 and 25.6067 Å, with angles of 90.00, 90.00 and 120.00 degrees. The inequivalent atoms are Al at (0.0000, 0.0000, 0.2489), Cr at (0.0000, 0.0000, 0.5000) and Tc at (0.0000, 0.0000, 0.0000).

The energy relative to the lowest polymorph listed for this composition is 27.2 kJ per mole of atoms.


Across the entries above, density takes the values 7.3; 6.4; 5.7; 5.9; 8.2; 7.3; 7.4; 7.1; 7.3; 6.7; 6.1; 7.1; 8.4; 7.2; 7.2; 5.8; 8.2; 8.3; 6.1; 6.0 g/cm3, respectively.
Across the entries above, V takes the values 13.0; 14.9; 14.9; 14.3; 14.0; 12.7; 15.4; 13.3; 13.1; 14.9; 13.8; 14.1; 13.6; 13.2; 13.2; 16.2; 14.0; 13.8; 14.0; 14.1 Å³/atom, respectively.
Across the entries above, energy of formation from the pure elements takes the values -130; 609; 437; 45; 66; -41; 448; -38; -48; 107; -104; 23; -218; 104; 5; 1590; -56; -101; -215; -14 meV/atom, respectively.